No. 1
## BeIn3Ni (PBE-GGA)

Data for a geometry-optimized BeIn3Ni structure.

Values from the calculation:
Energy relative to the elements in kJ/mol of atoms: 44.4
Crystal system: cubic

```
data_BeIn3Ni
_chemical_formula_sum 'Be1 In3 Ni1'
_symmetry_space_group_name_H-M 'P 1'
_symmetry_Int_Tables_number 1
_cell_length_a 4.9293
_cell_length_b 4.9293
_cell_length_c 4.9293
_cell_angle_alpha 90.00
_cell_angle_beta 90.00
_cell_angle_gamma 90.00
loop_
_symmetry_equiv_pos_as_xyz
'x,y,z'
loop_
_atom_site_label
_atom_site_type_symbol
_atom_site_fract_x
_atom_site_fract_y
_atom_site_fract_z
Ni1 Ni 0.0000 0.0000 0.0000
In1 In 0.0000 0.0000 0.5000
In2 In 0.5000 0.0000 0.0000
Be1 Be 0.5000 0.5000 0.5000
In3 In 0.0000 0.5000 0.0000
```

---

No. 2
## Er8HgIr2 (PBE-GGA)

Data for a geometry-optimized Er8HgIr2 structure.

Values from the calculation:
Energy relative to the elements in kJ/mol of atoms: -42.4
Crystal system: monoclinic

```
data_Er8HgIr2
_chemical_formula_sum 'Er8 Hg1 Ir2'
_symmetry_space_group_name_H-M 'P 1'
_symmetry_Int_Tables_number 1
_cell_length_a 5.4413
_cell_length_b 7.8037
_cell_length_c 7.8037
_cell_angle_alpha 113.09
_cell_angle_beta 97.59
_cell_angle_gamma 97.59
loop_
_symmetry_equiv_pos_as_xyz
'x,y,z'
loop_
_atom_site_label
_atom_site_type_symbol
_atom_site_fract_x
_atom_site_fract_y
_atom_site_fract_z
Ir1 Ir 0.4998 0.3136 0.6926
Er1 Er 0.4160 0.9348 0.6725
Er2 Er 0.0000 0.2478 0.7591
Ir2 Ir 0.4998 0.6926 0.3136
Er3 Er 0.1968 0.3829 0.3829
Er4 Er 0.5844 0.0716 0.3341
Er5 Er 0.8026 0.6224 0.6224
Hg1 Hg 0.9997 0.0026 0.0026
Er6 Er 0.0000 0.7591 0.2478
Er7 Er 0.4160 0.6725 0.9348
Er8 Er 0.5844 0.3341 0.0716
```

---

No. 3
## La3PbO (PBE-GGA)

Data for a geometry-optimized La3PbO structure.

Values from the calculation:
Formation energy from raw total energies in meV/atom: -1369
Crystal system: triclinic

```
data_La3PbO
_chemical_formula_sum 'La6 Pb2 O2'
_symmetry_space_group_name_H-M 'P 1'
_symmetry_Int_Tables_number 1
_cell_length_a 6.9833
_cell_length_b 7.1421
_cell_length_c 6.8685
_cell_angle_alpha 60.96
_cell_angle_beta 86.64
_cell_angle_gamma 97.19
loop_
_symmetry_equiv_pos_as_xyz
'x,y,z'
loop_
_atom_site_label
_atom_site_type_symbol
_atom_site_fract_x
_atom_site_fract_y
_atom_site_fract_z
La1 La 0.6673 0.9035 0.7062
O1 O 0.2061 0.5795 0.4082
La2 La 0.4950 0.8757 0.2981
Pb1 Pb 0.1650 0.9155 0.6586
La3 La 0.4349 0.3195 0.7098
O2 O 0.1505 0.2553 0.9549
La4 La 0.9445 0.4454 0.7053
La5 La 0.0164 0.8867 0.1526
Pb2 Pb 0.7037 0.4135 0.2134
La6 La 0.2165 0.4055 0.1930
```

---

| no. | total DFT energy (no corrections) (eV per cell) |
| --- | --- |
| 1 | -15.42 |
| 2 | -59.36 |
| 3 | -60.59 |